<1>
Density functional theory data (GGA-PBE) for a geometry-optimized LaReRh structure.

Values from the calculation:
DOS at the Fermi energy	0.86	states/eV/atom
magnetic moment	2.1	μB per formula unit

Cell lengths 6.4744, 6.4744, 6.4744 Å; angles 90.00, 90.00, 90.00 degrees
Space group F-43m (No. 216)
Unique sites:
1 La 0.0000 0.0000 0.0000 x4
2 Re 0.2500 0.2500 0.2500 x4
3 Rh 0.2500 0.2500 0.7500 x4


<2>
Density functional theory data (GGA-PBE) for a geometry-optimized LaReRh structure.

Values from the calculation:
DOS at the Fermi energy	0.76	states/eV/atom
magnetic moment	0.0	μB per formula unit

Cell lengths 4.2385, 4.2385, 4.5320 Å; angles 90.00, 90.00, 120.00 degrees
Space group P-6m2 (No. 187)
Unique sites:
1 La 0.0000 0.0000 0.0000 x1
2 Re 0.3333 0.6667 0.5000 x1
3 Rh 0.6667 0.3333 0.5000 x1


It comes down to <2>, which is 1185 meV/atom more stable than the next structure.


<1>
Density functional theory data (GGA-PBE) for a geometry-optimized LaRe2Ru structure.

Values from the calculation:
DOS at the Fermi energy	1.45	states/eV/atom
magnetic moment	0.0	μB per formula unit

Cell lengths 4.5458, 3.1431, 5.0669 Å; angles 90.00, 90.11, 90.00 degrees
Space group P2/m (No. 10)
Unique sites:
1 La 0.0000 0.0000 0.0000 x1
2 Re 0.0000 0.5000 0.5000 x1
3 Re 0.5000 0.0000 0.5000 x1
4 Ru 0.5000 0.5000 0.0000 x1


<2>
Density functional theory data (GGA-PBE) for a geometry-optimized LaRe2Ru structure.

Values from the calculation:
DOS at the Fermi energy	2.25	states/eV/atom
magnetic moment	1.1	μB per formula unit

Cell lengths 6.5549, 6.5549, 6.5549 Å; angles 90.00, 90.00, 90.00 degrees
Space group Fm-3m (No. 225)
Unique sites:
1 La 0.0000 0.0000 0.0000 x4
2 Re 0.2500 0.2500 0.2500 x8
3 Ru 0.0000 0.0000 0.5000 x4


It comes down to <1>, which is 208 meV/atom more stable than the next structure.


<1>
Density functional theory data (GGA-PBE) for a geometry-optimized LaRe2Ru structure.

Values from the calculation:
DOS at the Fermi energy	1.12	states/eV/atom
magnetic moment	0.0	μB per formula unit

Cell lengths 3.1172, 4.8147, 9.3338 Å; angles 90.00, 90.00, 90.00 degrees
Space group Cmm2 (No. 35)
Unique sites:
1 La 0.0000 0.0000 0.0000 x2
2 Re 0.0000 0.0000 0.5060 x2
3 Re 0.0000 0.5000 0.2852 x2
4 Ru 0.0000 0.5000 0.7302 x2


<2>
Density functional theory data (GGA-PBE) for a geometry-optimized LaRe2Ru structure.

Values from the calculation:
DOS at the Fermi energy	1.26	states/eV/atom
magnetic moment	0.0	μB per formula unit

Cell lengths 3.1005, 3.1005, 7.6739 Å; angles 90.00, 90.00, 90.00 degrees
Space group P4mm (No. 99)
Unique sites:
1 La 0.0000 0.0000 0.0000 x1
2 Re 0.0000 0.0000 0.4953 x1
3 Re 0.5000 0.5000 0.3112 x1
4 Ru 0.5000 0.5000 0.7021 x1


<3>
Density functional theory data (GGA-PBE) for a geometry-optimized LaRe2Ru structure.

Values from the calculation:
DOS at the Fermi energy	1.31	states/eV/atom
magnetic moment	0.0	μB per formula unit

Cell lengths 5.2865, 9.4517, 2.8901 Å; angles 90.00, 90.00, 90.00 degrees
Space group Cmmm (No. 65)
Unique sites:
1 La 0.0000 0.0000 0.0000 x2
2 Re 0.2500 0.2500 0.5000 x4
3 Ru 0.0000 0.5000 0.0000 x2


It comes down to <2>, which is 291 meV/atom more stable than the next structure.


<1>
Density functional theory data (GGA-PBE) for a geometry-optimized LaRe2Ru structure.

Values from the calculation:
DOS at the Fermi energy	1.26	states/eV/atom
magnetic moment	0.0	μB per formula unit

Cell lengths 3.8794, 3.8794, 9.8242 Å; angles 90.00, 90.00, 90.00 degrees
Space group I4/mmm (No. 139)
Unique sites:
1 La 0.0000 0.0000 0.0000 x2
2 Re 0.0000 0.5000 0.2500 x4
3 Ru 0.0000 0.0000 0.5000 x2


<2>
Density functional theory data (GGA-PBE) for a geometry-optimized LaRe2Ru structure.

Values from the calculation:
DOS at the Fermi energy	1.44	states/eV/atom
magnetic moment	0.0	μB per formula unit

Cell lengths 7.8393, 7.8393, 5.2943 Å; angles 90.00, 90.00, 90.00 degrees
Space group I-42d (No. 122)
Unique sites:
1 La 0.0000 0.0000 0.0000 x4
2 Re 0.1920 0.2500 0.6250 x8
3 Ru 0.0000 0.0000 0.5000 x4


It comes down to <1>, which is 49 meV/atom more stable than the next structure.


<1>
Density functional theory data (GGA-PBE) for a geometry-optimized LaRe2Ru structure.

Values from the calculation:
DOS at the Fermi energy	1.98	states/eV/atom
magnetic moment	0.0	μB per formula unit

Cell lengths 4.8157, 4.8157, 3.0853 Å; angles 90.00, 90.00, 90.00 degrees
Space group P4/mmm (No. 123)
Unique sites:
1 La 0.0000 0.0000 0.0000 x1
2 Re 0.0000 0.5000 0.5000 x2
3 Ru 0.5000 0.5000 0.0000 x1


<2>
Density functional theory data (GGA-PBE) for a geometry-optimized LaRe2Ru structure.

Values from the calculation:
DOS at the Fermi energy	1.30	states/eV/atom
magnetic moment	0.0	μB per formula unit

Cell lengths 3.0061, 4.7532, 9.8225 Å; angles 90.00, 90.00, 90.00 degrees
Space group Cmmm (No. 65)
Unique sites:
1 La 0.0000 0.0000 0.0000 x2
2 Re 0.0000 0.5000 0.2803 x4
3 Ru 0.0000 0.0000 0.5000 x2


<3>
Density functional theory data (GGA-PBE) for a geometry-optimized LaRe2Ru structure.

Values from the calculation:
DOS at the Fermi energy	1.16	states/eV/atom
magnetic moment	0.0	μB per formula unit

Cell lengths 2.8871, 4.7779, 10.5534 Å; angles 90.00, 90.00, 90.00 degrees
Space group Immm (No. 71)
Unique sites:
1 La 0.0000 0.0000 0.0000 x2
2 Re 0.0000 0.5000 0.2178 x4
3 Ru 0.0000 0.0000 0.5000 x2


<4>
Density functional theory data (GGA-PBE) for a geometry-optimized LaRe2Ru structure.

Values from the calculation:
DOS at the Fermi energy	0.76	states/eV/atom
magnetic moment	0.0	μB per formula unit

Cell lengths 10.3367, 2.9238, 4.9297 Å; angles 90.00, 102.66, 90.00 degrees
Space group C2/m (No. 12)
Unique sites:
1 La 0.0000 0.0000 0.0000 x2
2 Re 0.2203 0.0000 0.7005 x4
3 Ru 0.0000 0.5000 0.5000 x2


It comes down to <4>, which is 41 meV/atom more stable than the next structure.


<1>
Density functional theory data (GGA-PBE) for a geometry-optimized LaRe2Ru structure.

Values from the calculation:
DOS at the Fermi energy	1.16	states/eV/atom
magnetic moment	0.0	μB per formula unit

Cell lengths 9.1213, 3.1406, 5.8988 Å; angles 90.00, 107.16, 90.00 degrees
Space group Cm (No. 8)
Unique sites:
1 La 0.0000 0.0000 0.0000 x2
2 Re 0.2785 0.5000 0.3565 x2
3 Re 0.4990 0.0000 0.4961 x2
4 Ru 0.2273 0.0000 0.6783 x2


<2>
Density functional theory data (GGA-PBE) for a geometry-optimized LaRe2Ru structure.

Values from the calculation:
DOS at the Fermi energy	1.26	states/eV/atom
magnetic moment	0.0	μB per formula unit

Cell lengths 2.8073, 3.7891, 7.1391 Å; angles 90.00, 90.28, 90.00 degrees
Space group P2/m (No. 10)
Unique sites:
1 La 0.0000 0.0000 0.0000 x1
2 Re 0.4987 0.5000 0.3214 x2
3 Ru 0.0000 0.0000 0.5000 x1


It comes down to <1>, which is 20 meV/atom more stable than the next structure.